Computed, not measured: a relaxed Zr2MnGeAs crystal at the PBE level of DFT.

Geometry as extended XYZ:
```
5
Lattice="4.969 0.000 0.000 0.000 4.434 0.000 0.000 0.000 4.969" Properties=species:S:1:pos:R:3 pbc="T T T"
Mn 0.000 0.000 0.000
Zr 2.484 0.000 0.000
Ge 0.000 2.217 0.000
Zr 0.000 0.000 2.484
As 2.484 2.217 2.484
```

Calculated values
raw total energy	-7.073	eV/atom
total magnetization	0.00	Bohr magnetons per cell
V	21.89	Å³/atom